# SbW

A geometry-optimized SbW structure (PBE-GGA, Alexandria).

Values from the calculation:
Total magnetic moment   0.0000 μB/atom
Energy relative to the elements, uncorrected   808 meV per atom
Energy   -7.730 eV/atom
Fermi-level density of states   9.945 states/eV per cell
Energy above the most stable polymorph in this dataset   0.537 eV/atom

Lattice parameters (Å, degrees): 12.0346 12.0346 3.3108 90.00 90.00 90.00
Space group I4/m (No. 87)
Unique sites:
Sb 0.0548 0.7298 0.0000 (multiplicity 8)
W 0.1731 0.2673 0.0000 (multiplicity 8)